Ca2CrPt: relaxed, GGA-PBE.

Cell lengths 3.5678, 5.0170, 10.9468 Å; angles 90.00, 90.00, 90.00 degrees
Space group Imm2 (No. 44)
One atom of each set of equivalent atoms:
Ca (0.0000, 0.0000, 0.0000) x2
Ca (0.0000, 0.5000, 0.2035) x2
Cr (0.0000, 0.5000, 0.7999) x2
Pt (0.0000, 0.0000, 0.4742) x2

Volume: 195.9 Å³ per cell
Energy relative to the lowest polymorph listed for this composition: 100 meV per atom
Formation energy: -49 kJ/mol of formula units